No. 1
A geometry-optimized Fe2PtCl structure. Source: the Alexandria database, functional PBE-GGA.

Lattice parameters (Å, degrees): 5.3595 5.3595 5.3595 149.59 129.81 59.83
Closest atoms and distances in Å follow each position.
Positions (direct):
Fe: 0.0082 0.0082 0.0000  2 Cl 2.45, 2 Fe 2.66, 4 Pt 2.67
Fe: 0.7647 0.2647 0.5000  4 Fe 2.66-2.81, 4 Cl 2.70, 2 Pt 2.81
Pt: 0.5029 0.5029 0.0000  6 Fe 2.67-2.81, 2 Pt 2.81, 2 Cl 2.95
Cl: 0.2243 0.7243 0.5000  6 Fe 2.45-2.70

Results
Total DFT energy (no corrections): -5.890 eV/atom
Space group: Imm2
E above lowest polymorph: 371 meV per atom
Theoretical density: 9.57 g/cm³

No. 2
A geometry-optimized RuRh structure. Source: the Alexandria database, functional PBE-GGA.

Lattice parameters (Å, degrees): 4.6975 2.7032 8.9797 90.00 99.91 90.00
Closest atoms and distances in Å follow each position.
Positions (direct):
Ru: 0.6206 0.0000 0.3738  5 Ru 2.68-2.70, 7 Rh 2.69-2.73
Rh: 0.8725 0.5000 0.6233  7 Ru 2.69-2.73, 5 Rh 2.69-2.74
Rh: 0.1275 0.0000 0.8767  7 Ru 2.69-2.73, 5 Rh 2.69-2.74
Ru: 0.3794 0.5000 0.1262  5 Ru 2.68-2.70, 7 Rh 2.69-2.73
Ru: 0.3794 0.0000 0.6262  5 Ru 2.68-2.70, 7 Rh 2.69-2.73
Rh: 0.1275 0.5000 0.3767  7 Ru 2.69-2.73, 5 Rh 2.69-2.74
Ru: 0.6206 0.5000 0.8738  5 Ru 2.68-2.70, 7 Rh 2.69-2.73
Rh: 0.8725 0.0000 0.1233  7 Ru 2.69-2.73, 5 Rh 2.69-2.74

Results
Total DFT energy (no corrections): -8.261 eV/atom
Space group: C2/m
Theoretical density: 12.06 g/cm³
Formation enthalpy at 0 K: 0.11 eV/f.u.

No. 3
A geometry-optimized CsCu2Br4 structure. Source: the Alexandria database, functional PBE-GGA.

Lattice parameters (Å, degrees): 7.1916 7.1916 7.1916 99.59 99.59 131.81
Closest atoms and distances in Å follow each position.
Positions (direct):
Br: 0.5000 0.2103 0.7103  2 Cu 2.44
Cu: 0.2500 0.7500 0.5000  4 Br 2.44
Br: 0.5000 0.7897 0.2897  2 Cu 2.44
Br: 0.2103 0.5000 0.7103  2 Cu 2.44
Cs: 0.0000 0.0000 0.0000  8 Br 3.98
Cu: 0.7500 0.2500 0.5000  4 Br 2.44
Br: 0.7897 0.5000 0.2897  2 Cu 2.44

Results
Total DFT energy (no corrections): -2.971 eV/atom
Space group: I4/mmm
E above lowest polymorph: 33 meV per atom
Theoretical density: 3.80 g/cm³